Material: Li2SmTl4
Method: DFT, PBE
State: relaxed

The space group is R-3m (No. 166, hexagonal axes) and the conventional cell measures 4.9584, 4.9584 and 25.2986 Å, with angles of 90.00, 90.00 and 120.00 degrees. Symmetry generates all atoms from Li at (0.0000, 0.0000, 0.2492), Sm at (0.0000, 0.0000, 0.5000), Tl at (0.0000, 0.0000, 0.1102) and Tl at (0.0000, 0.0000, 0.3668).

The formation energy comes out at -208 meV per atom.


Material: Mg2CdGe
Method: DFT, PBE
State: relaxed

The space group is R-3m (No. 166, hexagonal axes) and the conventional cell measures 3.2547, 3.2547 and 27.4711 Å, with angles of 90.00, 90.00 and 120.00 degrees. Symmetry generates all atoms from Mg at (0.0000, 0.0000, 0.2450), Cd at (0.0000, 0.0000, 0.0000) and Ge at (0.0000, 0.0000, 0.5000).

The formation energy comes out at -56 meV per atom.


Material: AlSe2BrF
Method: DFT, PBE
State: relaxed

The space group is P4/mmm (No. 123) and the conventional cell measures 4.345, 4.345 and 6.335 Å, with angles of 90.00, 90.00 and 90.00 degrees. Symmetry generates all atoms from Al at (0.000, 0.000, 0.000), Se at (0.000, 0.500, 0.500), Br at (0.500, 0.500, 0.000) and F at (0.500, 0.500, 0.500).

The energy relative to the lowest polymorph listed for this composition is 0.235 eV per atom. For the formation energy without anion corrections, the calculation gives 152 meV per atom.


Material: Zn2SeBr
Method: DFT, PBE
State: relaxed

The space group is F-43m (No. 216) and the conventional cell measures 6.958, 6.958 and 6.958 Å, with angles of 90.00, 90.00 and 90.00 degrees. Symmetry generates all atoms from Zn at (0.000, 0.000, 0.000), Zn at (0.250, 0.250, 0.250), Se at (0.250, 0.250, 0.750) and Br at (0.000, 0.000, 0.500).

The energy relative to the lowest polymorph listed for this composition is 0.704 eV per atom. For the formation energy without anion corrections, the calculation gives 343 meV per atom.


Material: CsBa3Ac2Te6
Method: DFT, PBE
State: relaxed

The space group is C2/m (No. 12) and the conventional cell measures 21.495, 4.928 and 10.036 Å, with angles of 90.00, 102.28 and 90.00 degrees. Symmetry generates all atoms from Cs at (0.000, 0.000, 0.000), Ba at (0.000, 0.000, 0.500), Ba at (0.160, 0.500, 0.836), Ac at (0.167, 0.500, 0.335), Te at (0.010, 0.500, 0.271), Te at (0.171, 0.000, 0.577) and Te at (0.176, 0.000, 0.106).

For the formation energy without anion corrections, the calculation gives -1592 meV per atom.


Material: Cr2Os
Method: DFT, PBE
State: relaxed

The space group is P6_3/mmc (No. 194) and the conventional cell measures 4.0720, 4.0720 and 5.3230 Å, with angles of 90.00, 90.00 and 120.00 degrees. Symmetry generates all atoms from Cr at (0.3333, 0.6667, 0.0239) and Os at (0.0000, 0.0000, 0.2500).

The formation energy comes out at 159 meV per atom.


Material: GdAg2Pb
Method: DFT, PBE
State: relaxed

The space group is P4/mmm (No. 123) and the conventional cell measures 4.615, 4.615 and 4.455 Å, with angles of 90.00, 90.00 and 90.00 degrees. Symmetry generates all atoms from Gd at (0.000, 0.000, 0.000), Ag at (0.000, 0.500, 0.500) and Pb at (0.500, 0.500, 0.000).

The formation energy comes out at -202 meV per atom.


Material: NaRe3
Method: DFT, PBE
State: relaxed

The space group is Fm-3m (No. 225) and the conventional cell measures 6.248, 6.248 and 6.248 Å, with angles of 90.00, 90.00 and 90.00 degrees. Symmetry generates all atoms from Na at (0.000, 0.000, 0.000), Re at (0.000, 0.000, 0.500) and Re at (0.250, 0.250, 0.250).

The formation energy comes out at 818 meV per atom.


Material: Sm6Te3P2Pb
Method: DFT, PBE
State: relaxed

The space group is C2/m (No. 12) and the conventional cell measures 19.091, 4.292 and 8.836 Å, with angles of 90.00, 104.50 and 90.00 degrees. Symmetry generates all atoms from Sm at (0.013, 0.000, 0.255), Sm at (0.169, 0.500, 0.115), Sm at (0.176, 0.500, 0.565), Te at (0.000, 0.500, 0.500), Te at (0.163, 0.000, 0.832), P at (0.169, 0.000, 0.338) and Pb at (0.000, 0.500, 0.000).

For the formation energy without anion corrections, the calculation gives -1360 meV per atom.


Material: EuThTe2
Method: DFT, PBE
State: relaxed

The space group is P4/mmm (No. 123) and the conventional cell measures 3.894, 3.894 and 7.852 Å, with angles of 90.00, 90.00 and 90.00 degrees. Symmetry generates all atoms from Eu at (0.000, 0.000, 0.000), Th at (0.000, 0.000, 0.500) and Te at (0.500, 0.500, 0.263).

The energy relative to the lowest polymorph listed for this composition is 0.043 eV per atom. For the formation energy without anion corrections, the calculation gives -1268 meV per atom.


Material: Ba2RhPbAu
Method: DFT, PBE
State: relaxed

The space group is P4/mmm (No. 123) and the conventional cell measures 6.031, 6.031 and 5.156 Å, with angles of 90.00, 90.00 and 90.00 degrees. Symmetry generates all atoms from Ba at (0.000, 0.500, 0.000), Rh at (0.000, 0.000, 0.000), Pb at (0.000, 0.000, 0.500) and Au at (0.500, 0.500, 0.500).

The formation energy comes out at -323 meV per atom.


Material: TbHo6In
Method: DFT, PBE
State: relaxed

The space group is P4/mmm (No. 123) and the conventional cell measures 4.884, 4.884 and 9.957 Å, with angles of 90.00, 90.00 and 90.00 degrees. Symmetry generates all atoms from Tb at (0.000, 0.000, 0.000), Ho at (0.000, 0.500, 0.256), Ho at (0.500, 0.500, 0.000), Ho at (0.500, 0.500, 0.500) and In at (0.000, 0.000, 0.500).

The energy relative to the lowest polymorph listed for this composition is 0.000 eV per atom. The formation energy comes out at -114 meV per atom.


Material: La2VTe
Method: DFT, PBE
State: relaxed

The space group is Fm-3m (No. 225) and the conventional cell measures 7.747, 7.747 and 7.747 Å, with angles of 90.00, 90.00 and 90.00 degrees. Symmetry generates all atoms from La at (0.250, 0.250, 0.250), V at (0.000, 0.000, 0.000) and Te at (0.000, 0.000, 0.500).

The energy relative to the lowest polymorph listed for this composition is 0.000 eV per atom. For the formation energy without anion corrections, the calculation gives -193 meV per atom.


Material: PrSm7Tm12
Method: DFT, PBE
State: relaxed

The space group is Im-3m (No. 229) and the conventional cell measures 11.181, 11.181 and 11.181 Å, with angles of 90.00, 90.00 and 90.00 degrees. Symmetry generates all atoms from Pr at (0.000, 0.000, 0.000), Sm at (0.000, 0.000, 0.500), Sm at (0.250, 0.250, 0.250) and Tm at (0.000, 0.252, 0.252).

The energy relative to the lowest polymorph listed for this composition is 0.368 eV per atom. The formation energy comes out at 670 meV per atom.


Material: Sr2Mg
Method: DFT, PBE
State: relaxed

The space group is Fd-3m (No. 227, origin choice 2) and the conventional cell measures 10.437, 10.437 and 10.437 Å, with angles of 90.00, 90.00 and 90.00 degrees. Symmetry generates all atoms from Sr at (0.000, 0.000, 0.000) and Mg at (0.125, 0.125, 0.625).

The formation energy comes out at 396 meV per atom.


Material: ReSn2Mo
Method: DFT, PBE
State: relaxed

The space group is Fm-3m (No. 225) and the conventional cell measures 6.595, 6.595 and 6.595 Å, with angles of 90.00, 90.00 and 90.00 degrees. Symmetry generates all atoms from Re at (0.000, 0.000, 0.000), Sn at (0.250, 0.250, 0.250) and Mo at (0.000, 0.000, 0.500).

The energy relative to the lowest polymorph listed for this composition is 0.000 eV per atom. The formation energy comes out at 510 meV per atom.


Material: Ti2NbMo6
Method: DFT, PBE
State: relaxed

The space group is Cmmm (No. 65) and the conventional cell measures 6.883, 10.704 and 4.281 Å, with angles of 90.00, 90.00 and 90.00 degrees. Symmetry generates all atoms from Ti at (0.000, 0.219, 0.000), Nb at (0.000, 0.000, 0.500), Mo at (0.179, 0.359, 0.500) and Mo at (0.197, 0.500, 0.000).

The energy relative to the lowest polymorph listed for this composition is 0.132 eV per atom. The formation energy comes out at 408 meV per atom.


Material: TbThScAl
Method: DFT, PBE
State: relaxed

The space group is F-43m (No. 216) and the conventional cell measures 7.477, 7.477 and 7.477 Å, with angles of 90.00, 90.00 and 90.00 degrees. Symmetry generates all atoms from Tb at (0.000, 0.000, 0.000), Th at (0.000, 0.000, 0.500), Sc at (0.250, 0.250, 0.250) and Al at (0.250, 0.250, 0.750).

The formation energy comes out at -69 meV per atom.


Material: RbIrRuO6
Method: DFT, PBE
State: relaxed

The space group is P312 (No. 149) and the conventional cell measures 5.3411, 5.3411 and 6.1689 Å, with angles of 90.00, 90.00 and 120.00 degrees. Symmetry generates all atoms from Rb at (0.0000, 0.0000, 0.0000), Ir at (0.3333, 0.6667, 0.5000), Ru at (0.6667, 0.3333, 0.5000) and O at (0.3922, 0.0007, 0.3310).

For the formation energy without anion corrections, the calculation gives -981 meV per atom.


Material: LaMn2Co
Method: DFT, PBE
State: relaxed

The space group is R-3m (No. 166, hexagonal axes) and the conventional cell measures 3.0692, 3.0692 and 27.3736 Å, with angles of 90.00, 90.00 and 120.00 degrees. Symmetry generates all atoms from La at (0.0000, 0.0000, 0.0000), Mn at (0.0000, 0.0000, 0.2318) and Co at (0.0000, 0.0000, 0.5000).

The formation energy comes out at 613 meV per atom.